Entry 1:
VASP calculation (GGA-PBE) on a relaxed structure of Cs3HfI7.

ΔE_f (raw)   -27.02 kcal/mol of atoms
Volume   587.99 Å³/cell
Total DFT energy (no corrections)   -36.26 eV for the cell shown

Geometry as CIF:
```
data_Cs3HfI7
_chemical_formula_sum 'Cs3 Hf1 I7'
_symmetry_space_group_name_H-M 'P 1'
_symmetry_Int_Tables_number 1
_cell_length_a 8.694
_cell_length_b 8.694
_cell_length_c 9.605
_cell_angle_alpha 64.80
_cell_angle_beta 64.80
_cell_angle_gamma 86.45
loop_
_symmetry_equiv_pos_as_xyz
'x,y,z'
loop_
_atom_site_label
_atom_site_type_symbol
_atom_site_fract_x
_atom_site_fract_y
_atom_site_fract_z
_atom_site_occupancy
Cs1 Cs 0.764 0.229 0.487 1
Cs2 Cs 0.229 0.764 0.487 1
Cs3 Cs 0.509 0.509 0.900 1
I1 I 0.293 0.988 0.744 1
I2 I 0.127 0.127 0.144 1
I3 I 0.123 0.647 0.178 1
I4 I 0.988 0.293 0.744 1
I5 I 0.647 0.123 0.178 1
I6 I 0.693 0.693 0.420 1
I7 I 0.796 0.796 0.925 1
Hf1 Hf 0.955 0.955 0.042 1
```

=====

Entry 2:
VASP calculation (GGA-PBE) on a relaxed structure of CsHfIn2I8.

ΔE_f (raw)   -17.62 kcal/mol of atoms
Volume   593.88 Å³/cell
Total DFT energy (no corrections)   -37.85 eV for the cell shown

Geometry as CIF:
```
data_CsHfIn2I8
_chemical_formula_sum 'Cs1 Hf1 In2 I8'
_symmetry_space_group_name_H-M 'P 1'
_symmetry_Int_Tables_number 1
_cell_length_a 7.644
_cell_length_b 7.872
_cell_length_c 10.408
_cell_angle_alpha 75.38
_cell_angle_beta 82.13
_cell_angle_gamma 79.93
loop_
_symmetry_equiv_pos_as_xyz
'x,y,z'
loop_
_atom_site_label
_atom_site_type_symbol
_atom_site_fract_x
_atom_site_fract_y
_atom_site_fract_z
_atom_site_occupancy
Hf1 Hf 0.000 0.000 0.000 1
In1 In 0.462 0.435 0.739 1
In2 In 0.538 0.565 0.261 1
I1 I 0.395 0.281 0.508 1
I2 I 0.246 0.833 0.821 1
I3 I 0.754 0.167 0.179 1
I4 I 0.605 0.719 0.492 1
I5 I 0.118 0.721 0.224 1
I6 I 0.739 0.800 0.974 1
I7 I 0.882 0.279 0.776 1
I8 I 0.261 0.200 0.026 1
Cs1 Cs 0.000 0.000 0.500 1
```

=====

Entry 3:
VASP calculation (GGA-PBE) on a relaxed structure of CsKHfI6.

ΔE_f (raw)   -27.20 kcal/mol of atoms
Volume   991.45 Å³/cell
Total DFT energy (no corrections)   -63.64 eV for the cell shown

Geometry as CIF:
```
data_CsKHfI6
_chemical_formula_sum 'Cs2 K2 Hf2 I12'
_symmetry_space_group_name_H-M 'P 1'
_symmetry_Int_Tables_number 1
_cell_length_a 8.677
_cell_length_b 8.677
_cell_length_c 15.206
_cell_angle_alpha 90.00
_cell_angle_beta 90.00
_cell_angle_gamma 120.00
loop_
_symmetry_equiv_pos_as_xyz
'x,y,z'
loop_
_atom_site_label
_atom_site_type_symbol
_atom_site_fract_x
_atom_site_fract_y
_atom_site_fract_z
_atom_site_occupancy
Cs1 Cs 0.000 0.000 0.500 1
Cs2 Cs 0.000 0.000 0.000 1
I1 I 0.344 0.940 0.640 1
I2 I 0.404 0.060 0.140 1
I3 I 0.596 0.656 0.640 1
I4 I 0.060 0.656 0.860 1
I5 I 0.060 0.404 0.640 1
I6 I 0.940 0.596 0.360 1
I7 I 0.656 0.596 0.140 1
I8 I 0.404 0.344 0.360 1
I9 I 0.656 0.060 0.360 1
I10 I 0.344 0.404 0.860 1
I11 I 0.940 0.344 0.140 1
I12 I 0.596 0.940 0.860 1
Hf1 Hf 0.667 0.333 0.250 1
Hf2 Hf 0.333 0.667 0.750 1
K1 K 0.667 0.333 0.750 1
K2 K 0.333 0.667 0.250 1
```

=====

Entry 4:
VASP calculation (GGA-PBE) on a relaxed structure of CsK2HfI8.

ΔE_f (raw)   -25.16 kcal/mol of atoms
Volume   619.94 Å³/cell
Total DFT energy (no corrections)   -38.49 eV for the cell shown

Geometry as CIF:
```
data_CsK2HfI8
_chemical_formula_sum 'Cs1 K2 Hf1 I8'
_symmetry_space_group_name_H-M 'P 1'
_symmetry_Int_Tables_number 1
_cell_length_a 8.079
_cell_length_b 6.933
_cell_length_c 11.069
_cell_angle_alpha 89.84
_cell_angle_beta 90.03
_cell_angle_gamma 91.10
loop_
_symmetry_equiv_pos_as_xyz
'x,y,z'
loop_
_atom_site_label
_atom_site_type_symbol
_atom_site_fract_x
_atom_site_fract_y
_atom_site_fract_z
_atom_site_occupancy
Cs1 Cs 0.000 0.000 0.500 1
I1 I 0.695 0.784 0.999 1
I2 I 0.508 0.755 0.500 1
I3 I 0.873 0.241 0.814 1
I4 I 0.305 0.216 0.001 1
I5 I 0.127 0.759 0.186 1
I6 I 0.130 0.761 0.814 1
I7 I 0.492 0.245 0.500 1
I8 I 0.870 0.239 0.186 1
K1 K 0.500 0.499 0.779 1
K2 K 0.500 0.501 0.221 1
Hf1 Hf 0.000 0.000 0.000 1
```

=====

Entry 5:
VASP calculation (GGA-PBE) on a relaxed structure of CsLi2HfI8.

ΔE_f (raw)   -22.50 kcal/mol of atoms
Volume   507.39 Å³/cell
Total DFT energy (no corrections)   -38.74 eV for the cell shown

Geometry as CIF:
```
data_CsLi2HfI8
_chemical_formula_sum 'Cs1 Li2 Hf1 I8'
_symmetry_space_group_name_H-M 'P 1'
_symmetry_Int_Tables_number 1
_cell_length_a 7.586
_cell_length_b 6.740
_cell_length_c 10.717
_cell_angle_alpha 68.47
_cell_angle_beta 89.02
_cell_angle_gamma 94.65
loop_
_symmetry_equiv_pos_as_xyz
'x,y,z'
loop_
_atom_site_label
_atom_site_type_symbol
_atom_site_fract_x
_atom_site_fract_y
_atom_site_fract_z
_atom_site_occupancy
I1 I 0.195 0.858 0.834 1
I2 I 0.895 0.343 0.766 1
I3 I 0.105 0.657 0.234 1
I4 I 0.500 0.266 0.476 1
I5 I 0.500 0.734 0.524 1
I6 I 0.318 0.256 0.020 1
I7 I 0.805 0.142 0.166 1
I8 I 0.682 0.744 0.980 1
Hf1 Hf 0.000 0.000 0.000 1
Cs1 Cs 0.000 0.000 0.500 1
Li1 Li 0.571 0.509 0.802 1
Li2 Li 0.429 0.491 0.198 1
```

=====

Entry 6:
VASP calculation (GGA-PBE) on a relaxed structure of Cs2LiHfI6.

ΔE_f (raw)   -26.18 kcal/mol of atoms
Relative energy among the computed polymorphs   2.0 kJ per mole of atoms
Volume   416.58 Å³/cell
Total DFT energy (no corrections)   -34.23 eV for the cell shown

Geometry as CIF:
```
data_Cs2LiHfI6
_chemical_formula_sum 'Cs2 Li1 Hf1 I6'
_symmetry_space_group_name_H-M 'P 1'
_symmetry_Int_Tables_number 1
_cell_length_a 8.378
_cell_length_b 8.378
_cell_length_c 8.386
_cell_angle_alpha 60.03
_cell_angle_beta 60.03
_cell_angle_gamma 90.00
loop_
_symmetry_equiv_pos_as_xyz
'x,y,z'
loop_
_atom_site_label
_atom_site_type_symbol
_atom_site_fract_x
_atom_site_fract_y
_atom_site_fract_z
_atom_site_occupancy
I1 I 0.245 0.245 0.000 1
I2 I 0.755 0.755 0.000 1
I3 I 0.755 0.755 0.489 1
I4 I 0.245 0.245 0.511 1
I5 I 0.755 0.245 0.000 1
I6 I 0.245 0.755 0.000 1
Cs1 Cs 0.750 0.250 0.500 1
Cs2 Cs 0.250 0.750 0.500 1
Li1 Li 0.500 0.500 0.000 1
Hf1 Hf 0.000 0.000 0.000 1
```

=====

Entry 7:
VASP calculation (GGA-PBE) on a relaxed structure of CsLiHfI6.

ΔE_f (raw)   -25.68 kcal/mol of atoms
Volume   880.57 Å³/cell
Total DFT energy (no corrections)   -64.09 eV for the cell shown

Geometry as CIF:
```
data_CsLiHfI6
_chemical_formula_sum 'Cs2 Li2 Hf2 I12'
_symmetry_space_group_name_H-M 'P 1'
_symmetry_Int_Tables_number 1
_cell_length_a 7.635
_cell_length_b 7.635
_cell_length_c 17.441
_cell_angle_alpha 90.00
_cell_angle_beta 90.00
_cell_angle_gamma 120.00
loop_
_symmetry_equiv_pos_as_xyz
'x,y,z'
loop_
_atom_site_label
_atom_site_type_symbol
_atom_site_fract_x
_atom_site_fract_y
_atom_site_fract_z
_atom_site_occupancy
I1 I 0.362 0.985 0.655 1
I2 I 0.638 0.624 0.155 1
I3 I 0.015 0.638 0.845 1
I4 I 0.362 0.376 0.845 1
I5 I 0.985 0.624 0.345 1
I6 I 0.624 0.985 0.845 1
I7 I 0.376 0.015 0.155 1
I8 I 0.985 0.362 0.155 1
I9 I 0.624 0.638 0.655 1
I10 I 0.015 0.376 0.655 1
I11 I 0.376 0.362 0.345 1
I12 I 0.638 0.015 0.345 1
Cs1 Cs 0.000 0.000 0.000 1
Cs2 Cs 0.000 0.000 0.500 1
Li1 Li 0.667 0.333 0.750 1
Li2 Li 0.333 0.667 0.250 1
Hf1 Hf 0.667 0.333 0.250 1
Hf2 Hf 0.333 0.667 0.750 1
```

=====

Entry 8:
VASP calculation (GGA-PBE) on a relaxed structure of Cs2LiHfI6.

ΔE_f (raw)   -26.65 kcal/mol of atoms
Relative energy among the computed polymorphs   0.0 kJ per mole of atoms
Volume   854.44 Å³/cell
Total DFT energy (no corrections)   -68.86 eV for the cell shown

Geometry as CIF:
```
data_Cs2LiHfI6
_chemical_formula_sum 'Cs4 Li2 Hf2 I12'
_symmetry_space_group_name_H-M 'P 1'
_symmetry_Int_Tables_number 1
_cell_length_a 8.415
_cell_length_b 8.415
_cell_length_c 14.757
_cell_angle_alpha 73.43
_cell_angle_beta 73.43
_cell_angle_gamma 60.00
loop_
_symmetry_equiv_pos_as_xyz
'x,y,z'
loop_
_atom_site_label
_atom_site_type_symbol
_atom_site_fract_x
_atom_site_fract_y
_atom_site_fract_z
_atom_site_occupancy
I1 I 0.797 0.285 0.121 1
I2 I 0.203 0.203 0.879 1
I3 I 0.377 0.866 0.379 1
I4 I 0.203 0.715 0.879 1
I5 I 0.623 0.134 0.621 1
I6 I 0.377 0.377 0.379 1
I7 I 0.134 0.623 0.621 1
I8 I 0.285 0.797 0.121 1
I9 I 0.623 0.623 0.621 1
I10 I 0.797 0.797 0.121 1
I11 I 0.715 0.203 0.879 1
I12 I 0.866 0.377 0.379 1
Hf1 Hf 0.000 0.000 0.000 1
Hf2 Hf 0.500 0.500 0.500 1
Li1 Li 0.421 0.421 0.738 1
Li2 Li 0.579 0.579 0.262 1
Cs1 Cs 0.296 0.296 0.113 1
Cs2 Cs 0.704 0.704 0.887 1
Cs3 Cs 0.123 0.123 0.630 1
Cs4 Cs 0.877 0.877 0.370 1
```

=====

Entry 9:
VASP calculation (GGA-PBE) on a relaxed structure of Cs2HfMoI6.

ΔE_f (raw)   -14.06 kcal/mol of atoms
Volume   421.44 Å³/cell
Total DFT energy (no corrections)   -37.89 eV for the cell shown

Geometry as CIF:
```
data_Cs2HfMoI6
_chemical_formula_sum 'Cs2 Hf1 Mo1 I6'
_symmetry_space_group_name_H-M 'P 1'
_symmetry_Int_Tables_number 1
_cell_length_a 8.413
_cell_length_b 8.413
_cell_length_c 8.417
_cell_angle_alpha 60.02
_cell_angle_beta 60.02
_cell_angle_gamma 90.00
loop_
_symmetry_equiv_pos_as_xyz
'x,y,z'
loop_
_atom_site_label
_atom_site_type_symbol
_atom_site_fract_x
_atom_site_fract_y
_atom_site_fract_z
_atom_site_occupancy
I1 I 0.756 0.244 0.000 1
I2 I 0.756 0.756 0.489 1
I3 I 0.244 0.756 0.000 1
I4 I 0.244 0.244 0.000 1
I5 I 0.756 0.756 0.000 1
I6 I 0.244 0.244 0.511 1
Cs1 Cs 0.250 0.750 0.500 1
Cs2 Cs 0.750 0.250 0.500 1
Hf1 Hf 0.000 0.000 0.000 1
Mo1 Mo 0.500 0.500 0.000 1
```

=====

Entry 10:
VASP calculation (GGA-PBE) on a relaxed structure of CsHfIN2.

ΔE_f (raw)   2.63 kcal/mol of atoms
Relative energy among the computed polymorphs   0.0 kJ per mole of atoms
Volume   121.28 Å³/cell
Total DFT energy (no corrections)   -28.44 eV for the cell shown

Geometry as CIF:
```
data_CsHfIN2
_chemical_formula_sum 'Cs1 Hf1 I1 N2'
_symmetry_space_group_name_H-M 'P 1'
_symmetry_Int_Tables_number 1
_cell_length_a 4.509
_cell_length_b 4.509
_cell_length_c 5.966
_cell_angle_alpha 90.00
_cell_angle_beta 90.00
_cell_angle_gamma 90.00
loop_
_symmetry_equiv_pos_as_xyz
'x,y,z'
loop_
_atom_site_label
_atom_site_type_symbol
_atom_site_fract_x
_atom_site_fract_y
_atom_site_fract_z
_atom_site_occupancy
I1 I 0.000 0.000 0.500 1
N1 N 0.000 0.500 0.000 1
N2 N 0.500 0.000 0.000 1
Hf1 Hf 0.000 0.000 0.000 1
Cs1 Cs 0.500 0.500 0.500 1
```

=====

Entry 11:
VASP calculation (GGA-PBE) on a relaxed structure of Cs2HfI6N.

ΔE_f (raw)   -13.96 kcal/mol of atoms
Volume   451.08 Å³/cell
Total DFT energy (no corrections)   -35.34 eV for the cell shown

Geometry as CIF:
```
data_Cs2HfI6N
_chemical_formula_sum 'Cs2 Hf1 I6 N1'
_symmetry_space_group_name_H-M 'P 1'
_symmetry_Int_Tables_number 1
_cell_length_a 8.607
_cell_length_b 8.607
_cell_length_c 8.609
_cell_angle_alpha 60.01
_cell_angle_beta 60.01
_cell_angle_gamma 90.00
loop_
_symmetry_equiv_pos_as_xyz
'x,y,z'
loop_
_atom_site_label
_atom_site_type_symbol
_atom_site_fract_x
_atom_site_fract_y
_atom_site_fract_z
_atom_site_occupancy
I1 I 0.765 0.765 0.470 1
I2 I 0.765 0.765 0.000 1
I3 I 0.235 0.765 0.000 1
I4 I 0.235 0.235 0.530 1
I5 I 0.765 0.235 0.000 1
I6 I 0.235 0.235 0.000 1
Cs1 Cs 0.750 0.250 0.500 1
Cs2 Cs 0.250 0.750 0.500 1
Hf1 Hf 0.000 0.000 0.000 1
N1 N 0.500 0.500 0.000 1
```